VASP calculation (PBE) on a relaxed structure of NaTcAgO4.

Unit cell a=6.440 b=6.236 c=6.556 alpha=90.00 beta=91.12 gamma=90.00
Sites, in units of the cell vectors:
Na 0.143 0.250 0.413
Na 0.857 0.750 0.587
Tc 0.337 0.750 0.634
Tc 0.663 0.250 0.366
Ag 0.341 0.250 0.885
Ag 0.659 0.750 0.115
O 0.175 0.519 0.681
O 0.175 0.981 0.681
O 0.408 0.750 0.375
O 0.431 0.250 0.208
O 0.569 0.750 0.792
O 0.592 0.250 0.625
O 0.825 0.019 0.319
O 0.825 0.481 0.319

Summary:
As for the energy relative to the elements, uncorrected: -1.140 eV per atom.